<1>
VASP calculation (PBE) on a geometry-optimized PtSeSN2 structure.

The space group is P4/mmm (No. 123) and the conventional cell measures 3.7050, 3.7050 and 8.5927 Å, with angles of 90.00, 90.00 and 90.00 degrees. Symmetry generates all atoms from Pt at (0.0000, 0.0000, 0.0000), Se at (0.5000, 0.5000, 0.5000), S at (0.0000, 0.0000, 0.5000) and N at (0.0000, 0.5000, 0.0000).

=====

<2>
VASP calculation (PBE) on a geometry-optimized PtSeSN2 structure.

The space group is P4/mmm (No. 123) and the conventional cell measures 3.4602, 3.4602 and 7.4942 Å, with angles of 90.00, 90.00 and 90.00 degrees. Symmetry generates all atoms from Pt at (0.0000, 0.0000, 0.0000), Se at (0.5000, 0.5000, 0.0000), S at (0.5000, 0.5000, 0.5000) and N at (0.0000, 0.5000, 0.5000).

=====

Relative energy table, unit kJ/mol of atoms: <1> 0.0; <2> 23.6

=====

<1>
VASP calculation (PBE) on a geometry-optimized SiPtSN2 structure.

The space group is P4/mmm (No. 123) and the conventional cell measures 3.3841, 3.3841 and 7.6379 Å, with angles of 90.00, 90.00 and 90.00 degrees. Symmetry generates all atoms from Si at (0.0000, 0.0000, 0.0000), Pt at (0.5000, 0.5000, 0.5000), S at (0.0000, 0.0000, 0.5000) and N at (0.0000, 0.5000, 0.0000).

=====

<2>
VASP calculation (PBE) on a geometry-optimized SiPtSN2 structure.

The space group is P4/mmm (No. 123) and the conventional cell measures 3.7024, 3.7024 and 8.1607 Å, with angles of 90.00, 90.00 and 90.00 degrees. Symmetry generates all atoms from Si at (0.0000, 0.0000, 0.0000), Pt at (0.5000, 0.5000, 0.5000), S at (0.5000, 0.5000, 0.0000) and N at (0.0000, 0.5000, 0.5000).

=====

Relative energy table, unit kJ/mol of atoms: <1> 0.0; <2> 62.1

=====

<1>
VASP calculation (PBE) on a geometry-optimized SnPtSN2 structure.

The space group is P4/mmm (No. 123) and the conventional cell measures 4.0273, 4.0273 and 5.3482 Å, with angles of 90.00, 90.00 and 90.00 degrees. Symmetry generates all atoms from Sn at (0.0000, 0.0000, 0.0000), Pt at (0.5000, 0.5000, 0.5000), S at (0.0000, 0.0000, 0.5000) and N at (0.0000, 0.5000, 0.0000).

=====

<2>
VASP calculation (PBE) on a geometry-optimized SnPtSN2 structure.

The space group is P4/mmm (No. 123) and the conventional cell measures 3.9504, 3.9504 and 5.1930 Å, with angles of 90.00, 90.00 and 90.00 degrees. Symmetry generates all atoms from Sn at (0.0000, 0.0000, 0.0000), Pt at (0.5000, 0.5000, 0.5000), S at (0.5000, 0.5000, 0.0000) and N at (0.0000, 0.5000, 0.5000).

=====

Relative energy table, unit kJ/mol of atoms: <1> 52.2; <2> 0.0

=====

<1>
VASP calculation (PBE) on a geometry-optimized TaPtSN2 structure.

The space group is P4/mmm (No. 123) and the conventional cell measures 3.9037, 3.9037 and 4.6822 Å, with angles of 90.00, 90.00 and 90.00 degrees. Symmetry generates all atoms from Ta at (0.0000, 0.0000, 0.0000), Pt at (0.5000, 0.5000, 0.5000), S at (0.5000, 0.5000, 0.0000) and N at (0.0000, 0.5000, 0.5000).

=====

<2>
VASP calculation (PBE) on a geometry-optimized TaPtSN2 structure.

The space group is P4/mmm (No. 123) and the conventional cell measures 3.9233, 3.9233 and 5.2328 Å, with angles of 90.00, 90.00 and 90.00 degrees. Symmetry generates all atoms from Ta at (0.0000, 0.0000, 0.0000), Pt at (0.5000, 0.5000, 0.5000), S at (0.0000, 0.0000, 0.5000) and N at (0.0000, 0.5000, 0.0000).

=====

Relative energy table, unit kJ/mol of atoms: <1> 81.4; <2> 0.0

=====

<1>
VASP calculation (PBE) on a geometry-optimized TaPtS2N structure.

The space group is P4/mmm (No. 123) and the conventional cell measures 4.8871, 4.8871 and 3.6385 Å, with angles of 90.00, 90.00 and 90.00 degrees. Symmetry generates all atoms from Ta at (0.0000, 0.0000, 0.0000), Pt at (0.5000, 0.5000, 0.5000), S at (0.0000, 0.5000, 0.5000) and N at (0.5000, 0.5000, 0.0000).

=====

<2>
VASP calculation (PBE) on a geometry-optimized TaPtS2N structure.

The space group is P4/mmm (No. 123) and the conventional cell measures 4.8877, 4.8877 and 3.8261 Å, with angles of 90.00, 90.00 and 90.00 degrees. Symmetry generates all atoms from Ta at (0.0000, 0.0000, 0.0000), Pt at (0.5000, 0.5000, 0.5000), S at (0.0000, 0.5000, 0.0000) and N at (0.0000, 0.0000, 0.5000).

=====

Relative energy table, unit kJ/mol of atoms: <1> 49.1; <2> 0.0

=====

<1>
VASP calculation (PBE) on a geometry-optimized TcPtSN2 structure.

The space group is P4/mmm (No. 123) and the conventional cell measures 3.6821, 3.6821 and 8.0434 Å, with angles of 90.00, 90.00 and 90.00 degrees. Symmetry generates all atoms from Tc at (0.0000, 0.0000, 0.0000), Pt at (0.5000, 0.5000, 0.5000), S at (0.5000, 0.5000, 0.0000) and N at (0.0000, 0.5000, 0.5000).

=====

<2>
VASP calculation (PBE) on a geometry-optimized TcPtSN2 structure.

The space group is P4/mmm (No. 123) and the conventional cell measures 3.7423, 3.7423 and 5.3005 Å, with angles of 90.00, 90.00 and 90.00 degrees. Symmetry generates all atoms from Tc at (0.0000, 0.0000, 0.0000), Pt at (0.5000, 0.5000, 0.5000), S at (0.0000, 0.0000, 0.5000) and N at (0.0000, 0.5000, 0.0000).

=====

Relative energy table, unit kJ/mol of atoms: <1> 56.1; <2> 0.0